No. 1
## Tb2DyCo (PBE-GGA)

Data for an optimized crystal structure of Tb2DyCo.

relative energy among the computed polymorphs: 0.331 eV/atom
energy of formation from the pure elements: 0.178 eV/atom
calculated volume: 28.68 A^3/atom
raw total energy: -5.06 eV/atom

abc: 3.580 3.580 10.541
angles: 80.22 80.22 60.00
Atoms (fractional coordinates):
Co  0.500  0.500  0.500
Tb  0.113  0.113  0.660
Tb  0.887  0.887  0.340
Dy  0.000  0.000  0.000



No. 2
## TbDyCo (PBE-GGA)

Data for an optimized crystal structure of TbDyCo.

relative energy among the computed polymorphs: 0.000 eV/atom
energy of formation from the pure elements: -0.125 eV/atom
calculated volume: 25.19 A^3/atom
raw total energy: -5.57 eV/atom

abc: 3.770 5.713 7.043
angles: 94.94 90.00 90.00
Atoms (fractional coordinates):
Tb  0.750  0.823  0.677
Tb  0.250  0.177  0.323
Dy  0.750  0.654  0.169
Dy  0.250  0.346  0.831
Co  0.750  0.131  0.040
Co  0.250  0.869  0.960



No. 3
## TbDy12Co6 (PBE-GGA)

Data for an optimized crystal structure of TbDy12Co6.

energy of formation from the pure elements: -0.135 eV/atom
calculated volume: 24.45 A^3/atom
raw total energy: -5.53 eV/atom

abc: 8.451 8.451 8.451
angles: 109.47 109.47 109.47
Atoms (fractional coordinates):
Tb  0.000  0.000  0.000
Dy  0.309  0.115  0.806
Dy  0.309  0.503  0.194
Dy  0.691  0.497  0.806
Dy  0.691  0.885  0.194
Dy  0.115  0.806  0.309
Dy  0.503  0.194  0.309
Dy  0.497  0.806  0.691
Dy  0.885  0.194  0.691
Dy  0.806  0.309  0.115
Dy  0.194  0.309  0.503
Dy  0.806  0.691  0.497
Dy  0.194  0.691  0.885
Co  0.386  0.500  0.886
Co  0.614  0.500  0.114
Co  0.500  0.886  0.386
Co  0.500  0.114  0.614
Co  0.886  0.386  0.500
Co  0.114  0.614  0.500